A relaxed TiSb2PdF crystal, computed with PBE-GGA.

Properties
As for the crystal system: tetragonal. For the total magnetization, the calculation gives 0.0001 μB/atom. The mass density comes out at 7.01 Mg/m³. For the energy relative to the elements, uncorrected, the calculation gives -2.220 kcal/mol of atoms.

Cell lengths 4.827, 4.240, 4.827 Å; angles 90.00, 90.00, 90.00 degrees
Atoms (fractional coordinates):
1 Ti 0.500 0.500 0.500
2 Sb 0.500 0.000 0.000
3 Sb 0.000 0.000 0.500
4 Pd 0.000 0.500 0.000
5 F 0.000 0.000 0.000